# 1
Below is a relaxed structure of Sb2TeIBr, with properties calculated at the PBE level.

Cell and atoms, written as extended XYZ:
```
5
Lattice="5.702 0.000 0.000 0.000 5.702 0.000 0.000 0.000 5.567" Properties=species:S:1:pos:R:3 pbc="T T T"
Te 2.851 2.851 2.784
Sb 2.851 0.000 0.000
Sb 0.000 2.851 0.000
Br 0.000 0.000 0.000
I 0.000 0.000 2.784
```

Values from the calculation:
E above lowest polymorph	253	meV/atom
calculated volume	181.0	Å³ per cell

---

# 2
Below is a relaxed structure of ZrTa2Pd, with properties calculated at the PBE level.

Cell and atoms, written as extended XYZ:
```
8
Lattice="-2.300 -2.818 -1.368 3.097 -1.790 -1.519 1.664 -7.642 7.425" Properties=species:S:1:pos:R:3 pbc="T T T"
Ta -0.631 -3.891 0.813
Ta 1.552 -7.462 4.484
Zr 2.580 -5.868 2.231
Pd -0.118 -6.382 2.307
Zr 0.399 -2.304 -1.444
Ta 1.941 -9.761 3.045
Ta 2.061 -3.386 0.734
Pd 0.000 0.000 0.000
```

Values from the calculation:
E above lowest polymorph	229	meV/atom
calculated volume	157.5	Å³ per cell

---

# 3
Below is a relaxed structure of NaNd2NpTe4, with properties calculated at the PBE level.

Cell and atoms, written as extended XYZ:
```
8
Lattice="-1.157 -3.571 2.418 5.999 -3.968 -2.991 2.301 3.641 6.478" Properties=species:S:1:pos:R:3 pbc="T T T"
Nd 4.150 -0.163 1.744
Np 2.421 -3.770 -0.286
Te 5.655 -2.020 3.844
Te 5.043 -2.079 -0.658
Nd 0.572 0.035 4.448
Te 3.256 1.752 4.145
Te 1.488 -1.878 2.061
Na 0.000 0.000 0.000
```

Values from the calculation:
VASP energy	-5.70	eV per atom
calculated volume	255.4	Å³ per cell

---

# 4
Below is a relaxed structure of Sr2NiAg, with properties calculated at the PBE level.

Cell and atoms, written as extended XYZ:
```
4
Lattice="-3.136 -0.421 -3.312 -2.728 -1.934 2.829 -3.555 4.195 2.833" Properties=species:S:1:pos:R:3 pbc="T T T"
Ni -5.761 1.827 2.055
Sr -3.516 0.722 0.070
Ag -3.660 0.784 3.365
Sr -5.907 1.899 5.351
```

Values from the calculation:
VASP energy	-3.11	eV per atom
calculated volume	116.0	Å³ per cell

---

Q: What is the calculated volume in the fourth record?
A: 116.0 Å³ per cell

---

Q: Which of these has the highest calculated volume?
A: NaNd2NpTe4